# La2DyF

Crystalline La2DyF at its relaxed geometry (PBE, Alexandria).

The value obtained for the density of states at the Fermi level is 5.00 states/eV/f.u. The crystal system is trigonal. The value obtained for the final energy is -0.192 hartree per atom.

a = 3.874 Å, b = 3.874 Å, c = 9.079 Å
α = 77.68°, β = 77.68°, γ = 60.00°
Fractional positions:
1 F 0.000 0.000 0.000
2 La 0.277 0.277 0.169
3 La 0.723 0.723 0.831
4 Dy 0.500 0.500 0.500

---

# Nd4P3Cl

Crystalline Nd4P3Cl at its relaxed geometry (PBE, Alexandria).

The value obtained for the density of states at the Fermi level is 2.61 states/eV/f.u. The crystal system is orthorhombic. The value obtained for the final energy is -0.230 hartree per atom.

a = 4.144 Å, b = 7.211 Å, c = 7.211 Å
α = 70.83°, β = 90.00°, γ = 90.00°
Fractional positions:
1 P 0.500 0.000 0.500
2 P 0.000 0.500 0.500
3 P 0.000 0.000 0.000
4 Nd 0.000 0.232 0.268
5 Nd 0.500 0.758 0.258
6 Nd 0.000 0.769 0.732
7 Nd 0.500 0.243 0.742
8 Cl 0.500 0.500 0.000

---

# TbTmSbAs

Crystalline TbTmSbAs at its relaxed geometry (PBE, Alexandria).

The value obtained for the density of states at the Fermi level is 0.84 states/eV/f.u. The crystal system is trigonal. The value obtained for the final energy is -0.208 hartree per atom.

a = 4.193 Å, b = 4.193 Å, c = 7.559 Å
α = 90.00°, β = 106.09°, γ = 120.00°
Fractional positions:
1 Tm 0.318 0.557 0.890
2 Sb 0.474 0.135 0.625
3 As 0.130 0.963 0.108
4 Tb 0.956 0.376 0.347

---

# AcPaSn

Crystalline AcPaSn at its relaxed geometry (PBE, Alexandria).

Its distance to the lowest polymorph of the same formula is 0.92 eV per formula unit. The value obtained for the density of states at the Fermi level is 5.32 states/eV/f.u. The crystal system is tetragonal. The value obtained for the formation energy from the elements is -2 kJ/mol of formula units. The value obtained for the final energy is -0.216 hartree per atom.

a = 4.099 Å, b = 4.099 Å, c = 6.370 Å
α = 108.77°, β = 108.77°, γ = 90.00°
Fractional positions:
1 Ac 0.989 0.989 0.977
2 Sn 0.316 0.316 0.631
3 Pa 0.696 0.696 0.391